Record 1
Compound: BaPrNd
Source: the Alexandria database
Functional: PBE-GGA
Structure: optimized geometry

Cell: 3.8445 3.8445 17.0938 Å, 90.00 90.00 90.00°
Space group I4mm (No. 107)
Inequivalent atoms, fractional coordinates:
Ba  0.0000  0.0000  0.0000 (multiplicity 2)
Pr  0.0000  0.0000  0.3185 (multiplicity 2)
Nd  0.0000  0.0000  0.6805 (multiplicity 2)

Computed properties:
DFT formation energy in eV per atom: 0.12
Raw total energy in eV/atom: -3.706
Energy above the lowest structure with this stoichiometry in eV/atom: 0.0000
D(E_F) in states/eV/cell: 8.51

***

Record 2
Compound: U2TeS
Source: the Alexandria database
Functional: PBE-GGA
Structure: optimized geometry

Cell: 3.8176 7.5764 6.9589 Å, 90.00 90.00 90.00°
Space group Pmmn (No. 59, origin choice 2)
Inequivalent atoms, fractional coordinates:
U  0.2500  0.0027  0.2039 (multiplicity 4)
Te  0.2500  0.2500  0.5678 (multiplicity 2)
S  0.2500  0.7500  0.9066 (multiplicity 2)

Computed properties:
Raw total energy in eV/atom: -8.223
Energy above the lowest structure with this stoichiometry in eV/atom: 0.1287
D(E_F) in states/eV/cell: 17.94

***

Record 3
Compound: MnTl2Hg
Source: the Alexandria database
Functional: PBE-GGA
Structure: optimized geometry

Cell: 3.5344 4.6003 6.2104 Å, 90.00 98.18 90.00°
Space group P2/m (No. 10)
Inequivalent atoms, fractional coordinates:
Mn  0.0000  0.0000  0.0000 (multiplicity 1)
Tl  0.3974  0.5000  0.2352 (multiplicity 2)
Hg  0.0000  0.0000  0.5000 (multiplicity 1)

Computed properties:
DFT formation energy in eV per atom: 0.37
Raw total energy in eV/atom: -3.178
Energy above the lowest structure with this stoichiometry in eV/atom: 0.1095
D(E_F) in states/eV/cell: 2.89

***

Record 4
Compound: Ac2Pr3Tm2
Source: the Alexandria database
Functional: PBE-GGA
Structure: optimized geometry

Cell: 3.7030 5.9738 12.2698 Å, 75.97 81.40 90.00°
Space group P-1 (No. 2)
Inequivalent atoms, fractional coordinates:
Ac  0.0860  0.0856  0.3296 (multiplicity 2)
Pr  0.0000  0.5000  0.5000 (multiplicity 1)
Pr  0.2722  0.7724  0.9548 (multiplicity 2)
Tm  0.3617  0.3618  0.7761 (multiplicity 2)

Computed properties:
DFT formation energy in eV per atom: 0.10
Raw total energy in eV/atom: -4.399
D(E_F) in states/eV/cell: 11.07